--- A ---
Ba2CoOsS6, relaxed, DFT GGA-PBE; SG = Fm-3m, No. 225; total magnetization = 3.6 Bohr magnetons per cell; V = 21.00 A^3/atom
1.0
0.0000 4.7180 4.7180
4.7180 0.0000 4.7180
4.7180 4.7180 0.0000
Ba Co Os S
2 1 1 6
Cartesian
2.3590 2.3590 2.3590
7.0770 7.0770 7.0770
0.0000 0.0000 0.0000
4.7180 4.7180 4.7180
4.7180 4.7180 2.3324
4.7180 2.3324 4.7180
7.1036 4.7180 4.7180
2.3324 4.7180 4.7180
4.7180 7.1036 4.7180
4.7180 4.7180 7.1036



--- B ---
Ba2CoOsS6, relaxed, DFT GGA-PBE; SG = I4/m, No. 87; total magnetization = 1.5 Bohr magnetons per cell; V = 22.52 A^3/atom
1.0
-2.9606 2.9606 6.4235
2.9606 -2.9606 6.4235
2.9606 2.9606 -6.4235
Ba Co Os S
2 1 1 6
Cartesian
2.9606 0.0000 3.2118
0.0000 2.9606 3.2118
0.0000 0.0000 0.0000
0.0000 0.0000 6.4235
3.8382 0.7544 0.0000
0.0000 0.0000 3.9666
0.7544 2.0829 0.0000
2.2061 0.8777 6.4235
0.0000 0.0000 8.8805
-0.8777 2.2061 6.4235



If we sort the structures by their calculated energies, the order from most to least stable is B, A.